Computed, not measured: MgZrZn2 at its PBEsol-relaxed geometry at the meta-GGA SCAN level of DFT.

POSCAR file:
```
MgZrZn2
1.0
-2.130 -1.717 -1.341
2.999 -2.793 -1.187
0.352 -1.877 5.306
Zn Mg Zr
2 1 1
Cartesian
-1.521 -2.605 2.289 Zn
0.169 -3.271 0.457 Zn
0.911 -3.654 3.231 Mg
-0.120 -0.460 0.779 Zr
```

Computed properties:
- symmetry = Amm2
- energy relative to the elements (eV/atom) = -0.230
- magnetic moment (μB/atom) = 0.00
- energy (eV per atom) = -15.905